(1)
Density functional theory data (GGA-PBE) for a geometry-optimized BaInN2O structure. Values from VASP.

Quantum ESPRESSO input file:
```
&SYSTEM
  ibrav = 0, nat = 5, ntyp = 4
/
ATOMIC_SPECIES
Ba 137.33 Ba.upf
In 114.82 In.upf
N 14.01 N.upf
O 16.00 O.upf
ATOMIC_POSITIONS crystal
Ba 0.000 0.000 0.000
In 0.500 0.500 0.500
N 0.000 0.500 0.000
N 0.500 0.000 0.000
O 0.000 0.000 0.500
CELL_PARAMETERS angstrom
5.349 0.000 0.000
0.000 5.349 0.000
0.000 0.000 4.858
```

Calculated values
Its electronic total energy is -20.6 eV per cell. The volume is 139.0 Å³/cell.


(2)
Density functional theory data (GGA-PBE) for a geometry-optimized Ba2InP2N6 structure. Values from VASP.

Quantum ESPRESSO input file:
```
&SYSTEM
  ibrav = 0, nat = 11, ntyp = 4
/
ATOMIC_SPECIES
Ba 137.33 Ba.upf
In 114.82 In.upf
P 30.97 P.upf
N 14.01 N.upf
ATOMIC_POSITIONS crystal
Ba 0.214 0.214 0.214
Ba 0.786 0.786 0.786
In 0.000 0.000 0.000
P 0.410 0.410 0.410
P 0.590 0.590 0.590
N 0.256 0.256 0.728
N 0.256 0.728 0.256
N 0.272 0.744 0.744
N 0.728 0.256 0.256
N 0.744 0.272 0.744
N 0.744 0.744 0.272
CELL_PARAMETERS angstrom
2.895 1.671 6.023
-2.895 1.671 6.023
0.000 -3.343 6.023
```

Calculated values
Its electronic total energy is -71.9 eV per cell. The volume is 174.9 Å³/cell.


(3)
Density functional theory data (GGA-PBE) for a geometry-optimized BaPa2InN5 structure. Values from VASP.

Quantum ESPRESSO input file:
```
&SYSTEM
  ibrav = 0, nat = 18, ntyp = 4
/
ATOMIC_SPECIES
Ba 137.33 Ba.upf
Pa 231.04 Pa.upf
In 114.82 In.upf
N 14.01 N.upf
ATOMIC_POSITIONS crystal
Ba 0.250 0.250 0.000
Ba 0.750 0.750 0.000
Pa 0.185 0.685 0.870
Pa 0.315 0.185 0.500
Pa 0.685 0.815 0.500
Pa 0.815 0.315 0.130
In 0.250 0.750 0.500
In 0.750 0.250 0.500
N 0.000 0.000 0.000
N 0.031 0.227 0.500
N 0.227 0.727 0.196
N 0.273 0.469 0.500
N 0.469 0.969 0.196
N 0.500 0.500 0.000
N 0.531 0.031 0.804
N 0.727 0.531 0.500
N 0.773 0.273 0.804
N 0.969 0.773 0.500
CELL_PARAMETERS angstrom
-3.398 3.398 6.101
3.398 -3.398 6.101
3.398 3.398 -6.101
```

Calculated values
Its electronic total energy is -148.5 eV per cell. The volume is 281.8 Å³/cell.


(4)
Density functional theory data (GGA-PBE) for a geometry-optimized Ba4Pa3InN8 structure. Values from VASP.

Quantum ESPRESSO input file:
```
&SYSTEM
  ibrav = 0, nat = 16, ntyp = 4
/
ATOMIC_SPECIES
Ba 137.33 Ba.upf
Pa 231.04 Pa.upf
In 114.82 In.upf
N 14.01 N.upf
ATOMIC_POSITIONS crystal
Ba 0.000 0.000 0.000
Ba 0.000 0.500 0.500
Ba 0.500 0.000 0.500
Ba 0.500 0.500 0.000
Pa 0.000 0.000 0.500
Pa 0.000 0.500 0.000
Pa 0.500 0.000 0.000
In 0.500 0.500 0.500
N 0.205 0.738 0.738
N 0.224 0.224 0.224
N 0.262 0.262 0.795
N 0.262 0.795 0.262
N 0.738 0.205 0.738
N 0.738 0.738 0.205
N 0.776 0.776 0.776
N 0.795 0.262 0.262
CELL_PARAMETERS angstrom
3.617 2.088 6.455
-3.617 2.088 6.455
0.000 -4.177 6.455
```

Calculated values
Its electronic total energy is -121.2 eV per cell. The volume is 292.6 Å³/cell.


(5)
Density functional theory data (GGA-PBE) for a geometry-optimized Ba2InPdN structure. Values from VASP.

Quantum ESPRESSO input file:
```
&SYSTEM
  ibrav = 0, nat = 5, ntyp = 4
/
ATOMIC_SPECIES
Ba 137.33 Ba.upf
In 114.82 In.upf
Pd 106.42 Pd.upf
N 14.01 N.upf
ATOMIC_POSITIONS crystal
Ba 0.000 0.500 0.000
Ba 0.500 0.000 0.000
In 0.000 0.000 0.500
Pd 0.500 0.500 0.500
N 0.500 0.500 0.000
CELL_PARAMETERS angstrom
5.983 0.000 0.000
0.000 5.983 0.000
0.000 0.000 3.933
```

Calculated values
Its electronic total energy is -21.6 eV per cell. The volume is 140.8 Å³/cell.


(6)
Density functional theory data (GGA-PBE) for a geometry-optimized Rb2BaInN structure. Values from VASP.

Quantum ESPRESSO input file:
```
&SYSTEM
  ibrav = 0, nat = 5, ntyp = 4
/
ATOMIC_SPECIES
Rb 85.47 Rb.upf
Ba 137.33 Ba.upf
In 114.82 In.upf
N 14.01 N.upf
ATOMIC_POSITIONS crystal
Rb 0.000 0.500 0.000
Rb 0.500 0.000 0.000
Ba 0.000 0.000 0.500
In 0.500 0.500 0.000
N 0.500 0.500 0.500
CELL_PARAMETERS angstrom
7.830 0.000 0.000
0.000 7.830 0.000
0.000 0.000 4.175
```

Calculated values
Its electronic total energy is -11.8 eV per cell. The volume is 255.9 Å³/cell.


(7)
Density functional theory data (GGA-PBE) for a geometry-optimized BaInS2N structure. Values from VASP.

Quantum ESPRESSO input file:
```
&SYSTEM
  ibrav = 0, nat = 5, ntyp = 4
/
ATOMIC_SPECIES
Ba 137.33 Ba.upf
In 114.82 In.upf
S 32.06 S.upf
N 14.01 N.upf
ATOMIC_POSITIONS crystal
Ba 0.000 0.000 0.000
In 0.500 0.500 0.500
S 0.000 0.500 0.500
S 0.500 0.000 0.500
N 0.500 0.500 0.000
CELL_PARAMETERS angstrom
5.314 0.000 0.000
0.000 5.314 0.000
0.000 0.000 4.430
```

Calculated values
Its electronic total energy is -22.9 eV per cell. The volume is 125.1 Å³/cell.


(8)
Density functional theory data (GGA-PBE) for a geometry-optimized BaInS2N structure. Values from VASP.

Quantum ESPRESSO input file:
```
&SYSTEM
  ibrav = 0, nat = 5, ntyp = 4
/
ATOMIC_SPECIES
Ba 137.33 Ba.upf
In 114.82 In.upf
S 32.06 S.upf
N 14.01 N.upf
ATOMIC_POSITIONS crystal
Ba 0.000 0.000 0.000
In 0.500 0.500 0.500
S 0.000 0.500 0.000
S 0.500 0.000 0.000
N 0.000 0.000 0.500
CELL_PARAMETERS angstrom
5.979 0.000 0.000
0.000 5.979 0.000
0.000 0.000 5.316
```

Calculated values
Its electronic total energy is -17.9 eV per cell. The volume is 190.0 Å³/cell.


(9)
Density functional theory data (GGA-PBE) for a geometry-optimized BaSr2InN structure. Values from VASP.

Quantum ESPRESSO input file:
```
&SYSTEM
  ibrav = 0, nat = 5, ntyp = 4
/
ATOMIC_SPECIES
Ba 137.33 Ba.upf
Sr 87.62 Sr.upf
In 114.82 In.upf
N 14.01 N.upf
ATOMIC_POSITIONS crystal
Ba 0.000 0.000 0.000
Sr 0.000 0.500 0.500
Sr 0.500 0.000 0.500
In 0.500 0.500 0.000
N 0.000 0.000 0.500
CELL_PARAMETERS angstrom
5.308 0.000 0.000
0.000 5.308 0.000
0.000 0.000 5.687
```

Calculated values
Its electronic total energy is -18.4 eV per cell. The volume is 160.2 Å³/cell.


(10)
Density functional theory data (GGA-PBE) for a geometry-optimized Ba2SrInN structure. Values from VASP.

Quantum ESPRESSO input file:
```
&SYSTEM
  ibrav = 0, nat = 5, ntyp = 4
/
ATOMIC_SPECIES
Ba 137.33 Ba.upf
Sr 87.62 Sr.upf
In 114.82 In.upf
N 14.01 N.upf
ATOMIC_POSITIONS crystal
Ba 0.000 0.500 0.000
Ba 0.500 0.000 0.000
Sr 0.000 0.000 0.500
In 0.500 0.500 0.500
N 0.000 0.000 0.000
CELL_PARAMETERS angstrom
5.699 0.000 0.000
0.000 5.699 0.000
0.000 0.000 5.219
```

Calculated values
Its electronic total energy is -18.4 eV per cell. The volume is 169.5 Å³/cell.


(11)
Density functional theory data (GGA-PBE) for a geometry-optimized BaInTe2N structure. Values from VASP.

Quantum ESPRESSO input file:
```
&SYSTEM
  ibrav = 0, nat = 5, ntyp = 4
/
ATOMIC_SPECIES
Ba 137.33 Ba.upf
In 114.82 In.upf
Te 127.60 Te.upf
N 14.01 N.upf
ATOMIC_POSITIONS crystal
Ba 0.000 0.000 0.000
In 0.500 0.500 0.500
Te 0.000 0.500 0.000
Te 0.500 0.000 0.000
N 0.000 0.000 0.500
CELL_PARAMETERS angstrom
6.674 0.000 0.000
0.000 6.674 0.000
0.000 0.000 5.261
```

Calculated values
Its electronic total energy is -16.1 eV per cell. The volume is 234.3 Å³/cell.


(12)
Density functional theory data (GGA-PBE) for a geometry-optimized BaInTeN2 structure. Values from VASP.

Quantum ESPRESSO input file:
```
&SYSTEM
  ibrav = 0, nat = 5, ntyp = 4
/
ATOMIC_SPECIES
Ba 137.33 Ba.upf
In 114.82 In.upf
Te 127.60 Te.upf
N 14.01 N.upf
ATOMIC_POSITIONS crystal
Ba 0.000 0.000 0.000
In 0.500 0.500 0.500
Te 0.000 0.000 0.500
N 0.000 0.500 0.000
N 0.500 0.000 0.000
CELL_PARAMETERS angstrom
4.768 0.000 0.000
0.000 4.768 0.000
0.000 0.000 7.215
```

Calculated values
Its electronic total energy is -18.1 eV per cell. The volume is 164.0 Å³/cell.